Material: Ir2PbW
Method: DFT, GGA-PBE
State: relaxed

## Properties
- Formation energy from the elements: 0.5282 eV per atom

a = 2.9836 Å, b = 2.9836 Å, c = 7.7808 Å
α = 90.00°, β = 90.00°, γ = 90.00°
Last column: nearest neighbours and their distance in Å.
Fractional positions:
Ir (0.0000, 0.0000, 0.9884)  4 W 2.65, 4 Ir 2.88
Ir (0.5000, 0.5000, 0.2398)  4 Pb 2.87, 8 Ir 2.88-2.98
Pb (0.0000, 0.0000, 0.4904)  4 Ir 2.87, 4 Pb 2.98, 4 W 3.09
W (0.5000, 0.5000, 0.7814)  4 Ir 2.65

=====

Material: ZrIrPbW2
Method: DFT, GGA-PBE
State: relaxed

## Properties
- Formation energy from the elements: 2.1090 eV per atom

a = 4.9503 Å, b = 4.9091 Å, c = 4.9503 Å
α = 90.00°, β = 90.00°, γ = 90.00°
Last column: nearest neighbours and their distance in Å.
Fractional positions:
Zr (0.0000, 0.0000, 0.0000)  2 Ir 2.45, 4 W 2.48
W (0.0000, 0.0000, 0.5000)  2 Zr 2.48
W (0.5000, 0.0000, 0.0000)  2 Zr 2.48
Pb (0.5000, 0.5000, 0.5000)  8 W 3.49, 4 Ir 3.50
Ir (0.0000, 0.5000, 0.0000)  2 Zr 2.45

=====

Material: YIr2Pb
Method: DFT, GGA-PBE
State: relaxed

## Properties
- Formation energy from the elements: -0.2543 eV per atom

a = 4.1351 Å, b = 4.0168 Å, c = 5.5236 Å
α = 68.69°, β = 90.00°, γ = 90.00°
Last column: nearest neighbours and their distance in Å.
Fractional positions:
Ir (0.0000, 0.2035, 0.9683)  2 Ir 2.58, 1 Pb 2.78
Ir (0.5000, 0.0530, 0.2682)  2 Ir 2.58
Y (0.5000, 0.7706, 0.8345)  7 Ir 2.91-3.00
Pb (0.0000, 0.4730, 0.4290)  7 Ir 2.78-3.11

=====

Material: Y2IrPb2
Method: DFT, GGA-PBE
State: relaxed

## Properties
- Relative energy among the computed polymorphs: 0.120 eV/atom
- Formation energy from the elements: -0.3258 eV per atom

a = 7.2725 Å, b = 7.2725 Å, c = 4.7445 Å
α = 90.00°, β = 90.00°, γ = 90.00°
Last column: nearest neighbours and their distance in Å.
Fractional positions:
Y (0.1693, 0.6693, 0.5000)  6 Pb 3.04-3.30
Y (0.6693, 0.8307, 0.5000)  6 Pb 3.04-3.30
Y (0.3307, 0.1693, 0.5000)  6 Pb 3.04-3.30
Y (0.8307, 0.3307, 0.5000)  6 Pb 3.04-3.30
Pb (0.1455, 0.3545, 0.0000)  2 Ir 2.79, 1 Pb 2.99, 2 Y 3.04
Pb (0.3545, 0.8545, 0.0000)  2 Ir 2.79, 1 Pb 2.99, 2 Y 3.04
Pb (0.6455, 0.1455, 0.0000)  2 Ir 2.79, 1 Pb 2.99, 2 Y 3.04
Pb (0.8545, 0.6455, 0.0000)  2 Ir 2.79, 1 Pb 2.99, 2 Y 3.04
Ir (0.5000, 0.5000, 0.0000)  4 Pb 2.79
Ir (0.0000, 0.0000, 0.0000)  4 Pb 2.79

=====

Material: Y3Ir2Pb
Method: DFT, GGA-PBE
State: relaxed

## Properties
- Formation energy from the elements: -0.7018 eV per atom

a = 3.4072 Å, b = 3.4072 Å, c = 12.0007 Å
α = 90.00°, β = 90.00°, γ = 90.00°
Last column: nearest neighbours and their distance in Å.
Fractional positions:
Y (0.0000, 0.0000, 0.7101)  4 Ir 2.94
Y (0.0000, 0.0000, 0.0000)  8 Ir 3.01
Y (0.0000, 0.0000, 0.2899)  4 Ir 2.94
Ir (0.5000, 0.5000, 0.8499)  8 Y 2.94-3.01
Ir (0.5000, 0.5000, 0.1501)  8 Y 2.94-3.01
Pb (0.5000, 0.5000, 0.5000)  4 Pb 3.41, 8 Y 3.49

=====

Material: YIr2Pb
Method: DFT, GGA-PBE
State: relaxed

## Properties
- Formation energy from the elements: 0.1605 eV per atom

a = 9.1524 Å, b = 9.1524 Å, c = 9.1524 Å
α = 20.52°, β = 20.52°, γ = 20.52°
Last column: nearest neighbours and their distance in Å.
Fractional positions:
Y (0.7500, 0.7500, 0.7500)  6 Ir 2.86
Ir (0.4970, 0.4970, 0.4970)  3 Y 2.86, 3 Pb 2.99
Ir (0.0030, 0.0030, 0.0030)  3 Y 2.86, 3 Pb 2.99
Pb (0.2500, 0.2500, 0.2500)  6 Ir 2.99, 6 Pb 3.26

=====

Material: Y2Ir2Pb
Method: DFT, GGA-PBE
State: relaxed

## Properties
- Formation energy from the elements: -0.2818 eV per atom

a = 4.8056 Å, b = 4.8056 Å, c = 6.4071 Å
α = 67.97°, β = 67.97°, γ = 90.00°
Last column: nearest neighbours and their distance in Å.
Fractional positions:
Pb (0.0000, 0.0000, 0.0000)  8 Ir 3.62, 8 Y 3.63
Y (0.7500, 0.2500, 0.5000)  4 Ir 2.82
Y (0.2500, 0.7500, 0.5000)  4 Ir 2.82
Ir (0.6139, 0.6139, 0.7721)  1 Ir 2.48
Ir (0.3861, 0.3861, 0.2279)  1 Ir 2.48

=====

Material: Y3IrPb
Method: DFT, GGA-PBE
State: relaxed

## Properties
- Relative energy among the computed polymorphs: 0.018 eV/atom
- Formation energy from the elements: -0.5997 eV per atom

a = 8.1089 Å, b = 4.0584 Å, c = 8.0944 Å
α = 90.00°, β = 90.00°, γ = 90.00°
Last column: nearest neighbours and their distance in Å.
Fractional positions:
Y (0.6511, 0.6403, 0.5525)  2 Ir 2.91, 4 Pb 3.20-3.21
Y (0.9929, 0.6403, 0.2534)  2 Ir 2.90
Y (0.3208, 0.1403, 0.4053)  2 Ir 2.97-2.98, 2 Pb 3.27-3.30
Y (0.8208, 0.1403, 0.9604)  2 Ir 2.97-2.98, 2 Pb 3.27-3.30
Y (0.4930, 0.6403, 0.1124)  2 Ir 2.90
Y (0.1511, 0.6403, 0.8133)  2 Ir 2.91, 4 Pb 3.20-3.21
Pb (0.9553, 0.1403, 0.5761)  8 Y 3.20-3.32, 1 Ir 3.24
Pb (0.4553, 0.1403, 0.7897)  8 Y 3.20-3.32, 1 Ir 3.24
Ir (0.6711, 0.1403, 0.2954)  6 Y 2.90-2.98, 1 Pb 3.24
Ir (0.1710, 0.1403, 0.0704)  6 Y 2.90-2.98, 1 Pb 3.24

=====

Which value of formation energy from the elements does entry 8 give? -0.5997 eV per atom